[1]
{
  "formula": "YGeOs3",
  "functional": "PBE-GGA",
  "state": "optimized geometry",
  "lattice_angstrom": [[4.899, 0.000, 0.000], [0.000, 4.899, 0.000], [0.000, 0.000, 4.899]],
  "species": ["Ge", "Os", "Os", "Os", "Y"],
  "frac_coords": [[0.500, 0.500, 0.500], [0.000, 0.500, 0.000], [0.000, 0.000, 0.500], [0.500, 0.000, 0.000], [0.000, 0.000, 0.000]],
  "magnetic_moment_mub_per_fu": 1.52,
  "final_energy_ev_per_atom": -6.020,
  "e_above_lowest_polymorph_ev_per_atom": 2.116,
  "formation_energy_ev_per_atom": 2.934
}

---

[2]
{
  "formula": "Y2MgSbMo",
  "functional": "PBE-GGA",
  "state": "optimized geometry",
  "lattice_angstrom": [[5.701, 0.000, 0.000], [0.000, 5.107, 0.000], [0.000, 0.000, 5.701]],
  "species": ["Mg", "Mo", "Y", "Sb", "Y"],
  "frac_coords": [[0.000, 0.500, 0.000], [0.500, 0.500, 0.500], [0.000, 0.000, 0.500], [0.000, 0.000, 0.000], [0.500, 0.000, 0.000]],
  "raw_formation_energy_mev_per_atom": 793,
  "magnetic_moment_mub_per_fu": 3.89,
  "final_energy_ev_per_atom": -5.102
}

---

[3]
{
  "formula": "Cd3PtRh",
  "functional": "PBE-GGA",
  "state": "optimized geometry",
  "lattice_angstrom": [[5.074, 0.000, 0.000], [0.000, 5.074, 0.000], [0.000, 0.000, 5.074]],
  "species": ["Cd", "Pt", "Cd", "Cd", "Rh"],
  "frac_coords": [[0.000, 0.500, 0.000], [0.000, 0.000, 0.000], [0.000, 0.000, 0.500], [0.500, 0.000, 0.000], [0.500, 0.500, 0.500]],
  "magnetic_moment_mub_per_fu": 0.00,
  "final_energy_ev_per_atom": -2.634,
  "e_above_lowest_polymorph_ev_per_atom": 0.000,
  "formation_energy_ev_per_atom": 0.593
}

---

[4]
{
  "formula": "AsIr2Au2",
  "functional": "PBE-GGA",
  "state": "optimized geometry",
  "lattice_angstrom": [[-5.367, 2.086, -2.426], [2.343, -0.662, -5.754], [-1.574, -4.229, -0.154]],
  "species": ["Ir", "As", "Ir", "As", "Au", "Au", "Ir", "Ir", "Au", "Au"],
  "frac_coords": [[0.647, 0.147, 0.000], [0.000, 0.000, 0.000], [0.147, 0.353, 0.000], [0.500, 0.500, 0.000], [0.661, 0.839, 0.500], [0.339, 0.161, 0.500], [0.353, 0.853, 0.000], [0.853, 0.647, 0.000], [0.839, 0.339, 0.500], [0.161, 0.661, 0.500]],
  "magnetic_moment_mub_per_fu": 0.00,
  "final_energy_ev_per_atom": -5.540,
  "formation_energy_ev_per_atom": 0.245
}